1.
Cd2GaHgP | PBE | optimized geometry

Summary:
Crystal system: tetragonal
Magnetic moment (μB/f.u.): 0.99
E (eV/atom): -1.39
Energy of formation (eV per atom): 0.72

Cell and atoms, written as extended XYZ:
```
5
Lattice="5.364 0.000 0.000 0.000 5.364 0.000 0.000 0.000 5.089" Properties=species:S:1:pos:R:3 pbc="T T T"
Cd 0.000 2.682 0.000
Cd 2.682 0.000 0.000
Ga 0.000 0.000 2.544
Hg 0.000 0.000 0.000
P 2.682 2.682 2.544
```



2.
CaGeBr2 | PBE | optimized geometry

Summary:
Crystal system: trigonal
Magnetic moment (μB/f.u.): 0.00
Energy relative to the elements, uncorrected (eV/atom): -0.36
E (eV/atom): -2.86

Cell and atoms, written as extended XYZ:
```
4
Lattice="1.961 1.132 9.775 -1.961 1.132 9.775 0.000 -2.264 9.775" Properties=species:S:1:pos:R:3 pbc="T T T"
Ca 0.000 0.000 0.000
Ge 0.000 0.000 14.663
Br 0.000 0.000 2.876
Br 0.000 0.000 26.450
```



3.
Pr2Cd5Hg3 | PBE | optimized geometry

Summary:
Crystal system: orthorhombic
Magnetic moment (μB/f.u.): 0.00
E (eV/atom): -1.73
Energy of formation (eV per atom): -0.23

Cell and atoms, written as extended XYZ:
```
20
Lattice="-6.361 6.375 3.180 6.361 -6.375 3.180 6.361 6.375 -3.180" Properties=species:S:1:pos:R:3 pbc="T T T"
Pr 3.135 1.581 0.000
Pr 3.135 -1.581 3.180
Pr 3.226 7.956 0.000
Pr 3.226 4.794 3.180
Cd 6.361 -3.111 1.590
Cd 10.976 1.647 0.000
Cd 6.361 0.000 1.590
Cd 4.615 4.728 0.000
Cd 6.361 3.111 1.590
Cd 0.000 3.264 1.590
Cd 1.746 1.647 3.180
Cd 0.000 6.375 1.590
Cd -4.615 4.728 3.180
Cd 0.000 9.487 1.590
Hg 8.242 1.565 0.000
Hg 0.000 0.000 1.590
Hg 1.881 4.810 0.000
Hg 4.479 1.565 3.180
Hg 0.000 0.000 4.770
Hg -1.881 4.810 3.180
```



4.
Sr2TlCdCu | PBE | optimized geometry

Summary:
Crystal system: tetragonal
Magnetic moment (μB/f.u.): 0.00
E (eV/atom): -2.26
Energy of formation (eV per atom): -0.11

Cell and atoms, written as extended XYZ:
```
5
Lattice="5.901 0.000 0.000 0.000 5.901 0.000 0.000 0.000 4.931" Properties=species:S:1:pos:R:3 pbc="T T T"
Sr 0.000 2.951 0.000
Sr 2.951 0.000 0.000
Tl 0.000 0.000 2.465
Cd 2.951 2.951 2.465
Cu 2.951 2.951 0.000
```



5.
LaDy4Tl5 | PBE | optimized geometry

Summary:
Crystal system: tetragonal
Magnetic moment (μB/f.u.): 0.00
E (eV/atom): -3.88
Energy of formation (eV per atom): -0.36

Cell and atoms, written as extended XYZ:
```
10
Lattice="3.779 0.000 0.000 0.000 3.779 0.000 0.000 0.000 19.670" Properties=species:S:1:pos:R:3 pbc="T T T"
La 0.000 0.000 0.000
Dy 0.000 0.000 4.096
Dy 0.000 0.000 7.926
Dy 0.000 0.000 11.745
Dy 0.000 0.000 15.575
Tl 1.889 1.889 2.188
Tl 1.889 1.889 6.024
Tl 1.889 1.889 9.835
Tl 1.889 1.889 13.647
Tl 1.889 1.889 17.482
```



6.
CuSbSe | PBE | optimized geometry

Summary:
Crystal system: orthorhombic
Magnetic moment (μB/f.u.): 0.00
Energy relative to the elements, uncorrected (eV/atom): 0.02
E (eV/atom): -3.88

Cell and atoms, written as extended XYZ:
```
18
Lattice="-5.461 5.367 3.505 5.461 -5.367 3.505 5.461 5.367 -3.505" Properties=species:S:1:pos:R:3 pbc="T T T"
Cu 0.478 2.046 0.000
Cu 4.983 2.046 0.000
Cu 2.730 -0.183 4.987
Cu 2.730 5.551 1.482
Cu 0.478 3.322 3.505
Cu 4.983 3.322 3.505
Sb 8.191 -0.624 0.552
Sb 2.730 -2.237 2.190
Sb 2.730 0.624 0.552
Sb 2.730 3.567 -0.181
Sb 2.730 7.605 -1.316
Sb 2.730 1.801 3.324
Se 0.000 0.000 1.326
Se 5.461 0.000 1.326
Se -0.696 3.767 1.392
Se 6.157 3.767 1.392
Se 0.696 6.968 1.392
Se -0.696 1.600 4.897
```



7.
Ca3NpIn2N6 | PBE | optimized geometry

Summary:
Crystal system: monoclinic
Magnetic moment (μB/f.u.): 1.00
Energy relative to the elements, uncorrected (eV/atom): -0.71
E (eV/atom): -6.91

Cell and atoms, written as extended XYZ:
```
12
Lattice="2.906 -5.067 0.000 2.906 5.067 0.000 -1.900 0.000 5.691" Properties=species:S:1:pos:R:3 pbc="T T T"
Ca 0.000 0.000 0.000
Ca 2.906 1.731 0.000
Ca 2.906 -1.731 0.000
Np 1.956 0.000 2.846
In 1.956 3.374 2.846
In 1.956 -3.374 2.846
N 1.034 1.583 1.545
N 0.179 0.000 4.122
N 1.034 -1.583 1.545
N 2.879 1.583 4.146
N 3.734 0.000 1.569
N 2.879 -1.583 4.146
```



8.
Ta3ReRu | PBE | optimized geometry

Summary:
Crystal system: cubic
Magnetic moment (μB/f.u.): 0.00
E (eV/atom): -9.97
Energy of formation (eV per atom): 1.48

Cell and atoms, written as extended XYZ:
```
5
Lattice="4.697 0.000 0.000 0.000 4.697 0.000 0.000 0.000 4.697" Properties=species:S:1:pos:R:3 pbc="T T T"
Ta 0.000 0.000 2.348
Ta 0.000 2.348 0.000
Ta 2.348 0.000 0.000
Re 2.348 2.348 2.348
Ru 0.000 0.000 0.000
```



9.
BaSc2Al | PBE | optimized geometry

Summary:
Crystal system: tetragonal
Magnetic moment (μB/f.u.): 0.00
E (eV/atom): -4.39
Energy of formation (eV per atom): 0.20

Cell and atoms, written as extended XYZ:
```
4
Lattice="-2.428 2.428 4.606 2.428 -2.428 4.606 2.428 2.428 -4.606" Properties=species:S:1:pos:R:3 pbc="T T T"
Ba 0.000 0.000 0.000
Sc 2.428 0.000 2.303
Sc 0.000 0.000 4.606
Al 0.000 2.428 2.303
```



10.
Co2RhCl | PBE | optimized geometry

Summary:
Crystal system: tetragonal
Magnetic moment (μB/f.u.): 4.56
Energy relative to the elements, uncorrected (eV/atom): 0.75
E (eV/atom): -5.10

Cell and atoms, written as extended XYZ:
```
4
Lattice="3.591 0.000 0.000 0.000 3.591 0.000 0.000 0.000 4.239" Properties=species:S:1:pos:R:3 pbc="T T T"
Co 0.000 1.796 0.000
Co 1.796 0.000 0.000
Rh 0.000 0.000 2.120
Cl 1.796 1.796 2.120
```



11.
CaTeO4 | PBE | optimized geometry

Summary:
Crystal system: orthorhombic
Magnetic moment (μB/f.u.): 0.00
Energy relative to the elements, uncorrected (eV/atom): -1.80
E (eV/atom): -5.97

Cell and atoms, written as extended XYZ:
```
24
Lattice="5.301 0.000 0.000 0.000 12.822 0.000 0.000 0.000 5.071" Properties=species:S:1:pos:R:3 pbc="T T T"
Ca 0.000 2.176 1.268
Ca 0.000 10.646 3.803
Ca 2.651 4.235 3.803
Ca 2.651 8.587 1.268
Te 0.000 5.484 1.268
Te 0.000 7.338 3.803
Te 2.651 0.927 3.803
Te 2.651 11.896 1.268
O 1.078 5.846 2.899
O 1.078 6.977 0.363
O 1.164 4.183 0.589
O 1.164 8.639 3.124
O 1.487 2.228 3.124
O 1.487 10.594 0.589
O 1.573 0.566 0.363
O 1.573 12.257 2.899
O 3.728 0.566 2.172
O 3.728 12.257 4.708
O 3.814 2.228 4.482
O 3.814 10.594 1.947
O 4.137 4.183 1.947
O 4.137 8.639 4.482
O 4.223 5.846 4.708
O 4.223 6.977 2.172
```



12.
RbYOs2O8 | PBE | optimized geometry

Summary:
Crystal system: trigonal
Magnetic moment (μB/f.u.): 4.03
Energy relative to the elements, uncorrected (eV/atom): -1.54
E (eV/atom): -7.34

Cell and atoms, written as extended XYZ:
```
12
Lattice="6.019 0.000 0.000 -3.009 5.212 0.000 0.000 0.000 8.017" Properties=species:S:1:pos:R:3 pbc="T T T"
Rb 0.000 0.000 0.000
Y 0.000 0.000 4.008
Os 0.000 3.475 6.035
Os 3.009 1.737 1.982
O -0.027 1.766 5.411
O -1.467 4.353 5.411
O 0.000 3.475 7.803
O 1.515 0.906 2.606
O 1.494 4.306 5.411
O 3.009 1.737 0.213
O 4.476 0.859 2.606
O 3.037 3.447 2.606
```



13.
Ni4P3Pb4 | PBE | optimized geometry

Summary:
Crystal system: trigonal
Magnetic moment (μB/f.u.): 0.00
E (eV/atom): -5.01
Energy of formation (eV per atom): -0.08

Cell and atoms, written as extended XYZ:
```
11
Lattice="4.771 2.755 2.714 -4.771 2.755 2.714 0.000 -5.509 2.714" Properties=species:S:1:pos:R:3 pbc="T T T"
Ni 0.000 0.000 0.000
Ni 0.000 -3.064 2.533
Ni -2.653 1.532 2.533
Ni 2.653 1.532 2.533
P -2.980 -1.720 5.967
P 2.980 -1.720 5.967
P 0.000 3.441 5.967
Pb 0.000 0.000 2.885
Pb 0.000 -2.126 5.605
Pb -1.841 1.063 5.605
Pb 1.841 1.063 5.605
```



14.
NdErMoN3 | PBE | optimized geometry

Summary:
Crystal system: monoclinic
Magnetic moment (μB/f.u.): 0.00
Energy relative to the elements, uncorrected (eV/atom): -1.06
E (eV/atom): -8.59

Cell and atoms, written as extended XYZ:
```
12
Lattice="6.146 0.000 0.000 0.000 3.502 0.000 -2.073 0.000 8.785" Properties=species:S:1:pos:R:3 pbc="T T T"
Nd 0.546 0.875 1.613
Nd 3.527 2.626 7.172
Er 0.474 0.875 7.498
Er 3.599 2.626 1.287
Mo -0.252 2.626 5.054
Mo 4.325 0.875 3.731
N -1.240 0.875 5.804
N 1.559 2.626 0.099
N 1.277 2.626 6.149
N 2.796 0.875 2.636
N 2.514 0.875 8.686
N 5.313 2.626 2.981
```



15.
La2ZnSi3Ni4 | PBE | optimized geometry

Summary:
Crystal system: tetragonal
Magnetic moment (μB/f.u.): 0.00
Energy relative to the elements, uncorrected (eV/atom): -0.69
E (eV/atom): -5.74

Cell and atoms, written as extended XYZ:
```
10
Lattice="4.131 0.000 0.000 0.000 4.131 0.000 0.000 0.000 9.672" Properties=species:S:1:pos:R:3 pbc="T T T"
La 0.000 2.066 2.407
La 2.066 0.000 7.265
Zn 0.000 0.000 4.836
Si 0.000 2.066 8.499
Si 2.066 0.000 1.173
Si 2.066 2.066 4.836
Ni 0.000 0.000 0.000
Ni 0.000 2.066 6.116
Ni 2.066 0.000 3.556
Ni 2.066 2.066 0.000
```



16.
Na2MgSbTe4 | PBE | optimized geometry

Summary:
Crystal system: monoclinic
Magnetic moment (μB/f.u.): 0.00
Energy relative to the elements, uncorrected (eV/atom): -0.57
E (eV/atom): -3.19

Cell and atoms, written as extended XYZ:
```
8
Lattice="7.612 0.000 0.000 0.000 4.133 0.000 -2.300 0.000 7.781" Properties=species:S:1:pos:R:3 pbc="T T T"
Na 0.000 0.000 0.000
Na 3.806 2.067 0.000
Mg -1.150 2.067 3.891
Sb 2.656 0.000 3.891
Te 0.136 0.000 5.631
Te 1.257 2.067 2.159
Te 4.055 2.067 5.622
Te 5.176 0.000 2.150
```



17.
Tm5SeS5 | PBE | optimized geometry

Summary:
Crystal system: monoclinic
Magnetic moment (μB/f.u.): 0.00
Energy relative to the elements, uncorrected (eV/atom): -1.97
E (eV/atom): -6.20

Cell and atoms, written as extended XYZ:
```
11
Lattice="6.106 -2.737 0.000 6.106 2.737 0.000 -2.418 0.000 7.361" Properties=species:S:1:pos:R:3 pbc="T T T"
Tm 0.000 0.000 0.000
Tm 2.465 0.000 4.826
Tm 3.673 0.000 1.319
Tm 6.120 0.000 6.042
Tm 7.329 0.000 2.535
Se 6.106 0.000 0.000
S 1.210 0.000 2.448
S 0.063 0.000 6.182
S 4.897 0.000 3.680
S 9.731 0.000 1.178
S 8.584 0.000 4.913
```



18.
CsNaTeS2 | PBE | optimized geometry

Summary:
Crystal system: orthorhombic
Magnetic moment (μB/f.u.): 0.81
Energy relative to the elements, uncorrected (eV/atom): -0.60
E (eV/atom): -3.31

Cell and atoms, written as extended XYZ:
```
10
Lattice="3.141 -7.548 0.000 3.141 7.548 0.000 0.000 0.000 6.735" Properties=species:S:1:pos:R:3 pbc="T T T"
Cs 3.141 3.774 5.074
Cs 3.141 -3.774 1.661
Na 1.570 0.000 3.367
Na 4.711 0.000 3.367
Te 0.000 0.000 0.000
Te 3.141 0.000 0.000
S 3.141 5.774 1.876
S 3.141 1.774 1.876
S 3.141 -1.774 4.859
S 3.141 -5.774 4.859
```



19.
LiLa2InRh | PBE | optimized geometry

Summary:
Crystal system: tetragonal
Magnetic moment (μB/f.u.): 0.00
E (eV/atom): -4.73
Energy of formation (eV per atom): -0.36

Cell and atoms, written as extended XYZ:
```
5
Lattice="5.478 0.000 0.000 0.000 5.478 0.000 0.000 0.000 4.830" Properties=species:S:1:pos:R:3 pbc="T T T"
Li 0.000 0.000 0.000
La 0.000 2.739 2.415
La 2.739 0.000 2.415
In 2.739 2.739 0.000
Rh 0.000 0.000 2.415
```



20.
ErNi6H | PBE | optimized geometry

Summary:
Crystal system: trigonal
Magnetic moment (μB/f.u.): 2.14
E (eV/atom): -5.38

Cell and atoms, written as extended XYZ:
```
8
Lattice="2.565 1.481 4.205 -2.565 1.481 4.205 0.000 -2.962 4.205" Properties=species:S:1:pos:R:3 pbc="T T T"
Er 0.000 0.000 0.000
Ni -1.359 -0.784 5.383
Ni 0.000 -1.569 7.233
Ni -1.359 0.784 7.233
Ni 1.359 -0.784 5.383
Ni 0.000 1.569 5.383
Ni 1.359 0.784 7.233
H 0.000 0.000 6.308
```



21.
LiTlAs2 | PBE | optimized geometry

Summary:
Crystal system: orthorhombic
Magnetic moment (μB/f.u.): 0.00
E (eV/atom): -3.43
Energy of formation (eV per atom): -0.04

Cell and atoms, written as extended XYZ:
```
4
Lattice="-2.004 2.073 5.100 2.004 -2.073 5.100 2.004 2.073 -5.100" Properties=species:S:1:pos:R:3 pbc="T T T"
Li 0.000 0.000 0.000
Tl 0.000 0.000 5.100
As 2.004 0.000 2.523
As 0.000 2.073 2.577
```



22.
Tm2Zn15Pd2 | PBE | optimized geometry

Summary:
Crystal system: trigonal
Magnetic moment (μB/f.u.): 0.00
E (eV/atom): -2.33
Energy of formation (eV per atom): -0.31

Cell and atoms, written as extended XYZ:
```
19
Lattice="4.474 2.583 4.370 -4.474 2.583 4.370 0.000 -5.166 4.370" Properties=species:S:1:pos:R:3 pbc="T T T"
Tm 0.000 0.000 2.157
Tm 0.000 0.000 10.954
Zn -2.237 -1.292 4.370
Zn 0.000 -2.639 4.160
Zn -2.286 1.320 4.160
Zn -1.301 -2.253 6.555
Zn -2.602 0.000 6.555
Zn -2.286 -1.320 8.951
Zn -2.237 1.292 8.740
Zn 1.301 -2.253 6.555
Zn 0.000 2.583 4.370
Zn -1.301 2.253 6.555
Zn 2.286 1.320 4.160
Zn 2.602 0.000 6.555
Zn 1.301 2.253 6.555
Zn 2.286 -1.320 8.950
Zn 0.000 2.639 8.950
Pd 0.000 0.000 5.105
Pd 0.000 0.000 8.005
```